Entry 1:
Compound: La2TaTl
Source: Alexandria
Functional: SCAN
Structure: single point on PBEsol structure

## Properties
DFT total energy: -56.189 eV per atom
DOS(E_F): 3.245 states/eV/cell
Relative energy among the computed polymorphs: 0.0 kJ/mol of atoms
Energy relative to the elements: 10 kJ per mole of atoms
Magnetization: 0.00 μB per formula unit
Crystal system: tetragonal

Geometry as POSCAR:
```
La2TaTl
1.0
3.245 0.000 0.000
0.000 3.245 0.000
0.000 0.000 10.004
La Tl Ta
2 1 1
Direct
0.000 0.000 0.231
0.000 0.000 0.769
0.500 0.500 0.500
0.500 0.500 0.000
```


Entry 2:
Compound: LaTa4Tl
Source: Alexandria
Functional: SCAN
Structure: single point on PBEsol structure

## Properties
DFT total energy: -63.186 eV per atom
DOS(E_F): 7.765 states/eV/cell
Energy relative to the elements: 43 kJ per mole of atoms
Magnetization: 0.00 μB per formula unit
Crystal system: cubic

Geometry as POSCAR:
```
LaTa4Tl
1.0
-0.938 3.688 4.174
-5.240 0.771 1.963
-1.388 -1.857 5.150
La Ta Tl
1 4 1
Direct
0.000 0.000 0.000
0.373 0.373 0.880
0.373 0.880 0.373
0.880 0.373 0.373
0.373 0.373 0.373
0.750 0.750 0.750
```


Entry 3:
Compound: LaTa2W
Source: Alexandria
Functional: SCAN
Structure: single point on PBEsol structure

## Properties
DFT total energy: -60.770 eV per atom
DOS(E_F): 3.645 states/eV/cell
Relative energy among the computed polymorphs: 5.1 kJ/mol of atoms
Energy relative to the elements: 69 kJ per mole of atoms
Magnetization: 0.00 μB per formula unit
Crystal system: tetragonal

Geometry as POSCAR:
```
LaTa2W
1.0
-3.109 -0.218 -0.394
0.298 -4.885 0.348
-0.637 0.307 4.855
W Ta La
1 2 1
Direct
0.500 0.500 0.500
0.000 0.500 0.000
0.000 0.000 0.500
0.500 0.000 0.000
```


Entry 4:
Compound: LaTa2W
Source: Alexandria
Functional: SCAN
Structure: single point on PBEsol structure

## Properties
DFT total energy: -60.823 eV per atom
DOS(E_F): 3.686 states/eV/cell
Relative energy among the computed polymorphs: 0.0 kJ/mol of atoms
Energy relative to the elements: 64 kJ per mole of atoms
Magnetization: 0.00 μB per formula unit
Crystal system: orthorhombic

Geometry as POSCAR:
```
LaTa2W
1.0
3.204 0.000 0.000
0.000 5.157 0.000
-1.602 -2.579 4.757
Ta W La
2 1 1
Direct
0.766 0.766 0.533
0.234 0.234 0.467
0.500 0.000 0.000
0.000 0.500 0.000
```